This record from the Alexandria database describes crystalline Mn3Tl2CdF12 at its relaxed geometry. The functional is PBE with a Hubbard U.

Lattice parameters (Å, degrees): 7.576 7.576 7.576 60.67 60.67 60.67
Positions (direct):
Mn1 0.500 0.000 0.000
Mn2 0.000 0.500 0.000
Mn3 0.000 0.000 0.500
Tl1 0.648 0.648 0.648
Tl2 0.352 0.352 0.352
Cd1 0.000 0.000 0.000
F1 0.298 0.298 0.929
F2 0.905 0.905 0.362
F3 0.362 0.905 0.905
F4 0.929 0.298 0.298
F5 0.905 0.362 0.905
F6 0.298 0.929 0.298
F7 0.702 0.702 0.071
F8 0.095 0.095 0.638
F9 0.638 0.095 0.095
F10 0.071 0.702 0.702
F11 0.095 0.638 0.095
F12 0.702 0.071 0.702

Summary:
Calculated total energy (eV per atom): -5.123